(1)
AcHgRh2: optimized geometry, GGA-PBE.

Cell lengths 3.6016, 3.6016, 6.5131 Å; angles 90.00, 90.00, 90.00 degrees
Last column: nearest neighbours and their distance in Å.
Fractional coordinates of all 4 atoms:
1 Rh 0.0000 0.0000 0.7263  4 Hg 2.94, 1 Rh 2.95, 4 Ac 3.11
2 Rh 0.0000 0.0000 0.2737  4 Hg 2.94, 1 Rh 2.95, 4 Ac 3.11
3 Hg 0.5000 0.5000 0.5000  8 Rh 2.94, 2 Ac 3.26
4 Ac 0.5000 0.5000 0.0000  8 Rh 3.11, 2 Hg 3.26

Values from the calculation:
Total magnetization = 0.00 Bohr magnetons per cell
SG = P4/mmm

---

(2)
Ac3HgRh: optimized geometry, GGA-PBE.

Cell lengths 5.7565, 5.7565, 5.7565 Å; angles 90.00, 90.00, 90.00 degrees
Last column: nearest neighbours and their distance in Å.
Fractional coordinates of all 5 atoms:
1 Rh 0.0000 0.0000 0.0000  6 Ac 2.88
2 Ac 0.5000 0.0000 0.0000  2 Rh 2.88
3 Ac 0.0000 0.0000 0.5000  2 Rh 2.88
4 Ac 0.0000 0.5000 0.0000  2 Rh 2.88
5 Hg 0.5000 0.5000 0.5000  12 Ac 4.07

Values from the calculation:
Offset from the most stable computed form = 0.178 eV/atom
Total magnetization = 0.00 Bohr magnetons per cell
SG = Pm-3m

---

(3)
AcHg2Rh: optimized geometry, GGA-PBE.

Cell lengths 4.7548, 4.7548, 5.9415 Å; angles 66.41, 66.41, 60.00 degrees
Last column: nearest neighbours and their distance in Å.
Fractional coordinates of all 4 atoms:
1 Ac 0.0000 0.0000 0.0000  8 Hg 3.31-3.41
2 Rh 0.5000 0.5000 0.5000  6 Hg 2.85
3 Hg 0.2159 0.2159 0.3522  3 Rh 2.85, 3 Hg 3.16
4 Hg 0.7841 0.7841 0.6478  3 Rh 2.85, 3 Hg 3.16

Values from the calculation:
Offset from the most stable computed form = 0.211 eV/atom
Total magnetization = 0.00 Bohr magnetons per cell
SG = R-3m

---

no.,final energy (eV/f.u.),volume (Å³ per atom)
1,-19.85,21.1
2,-21.68,38.2
3,-13.09,25.8